# 1
Material: Ca2PIr
Method: DFT, PBE
State: optimized geometry

CIF file:
```
data_Ca2PIr
_cell_length_a 3.5314
_cell_length_b 3.5314
_cell_length_c 24.6418
_cell_angle_alpha 90.00
_cell_angle_beta 90.00
_cell_angle_gamma 120.00
_symmetry_space_group_name_H-M 'R -3 m'
_symmetry_Int_Tables_number 166
_symmetry_space_group_name_Hall '-R 3 2"'
loop_
_atom_site_label
_atom_site_fract_x
_atom_site_fract_y
_atom_site_fract_z
Ca1 0.0000 0.0000 0.2482
P1 0.0000 0.0000 0.5000
Ir1 0.0000 0.0000 0.0000
```

Values from the calculation:
* crystal system: trigonal
* formation enthalpy at 0 K: -177 meV/atom
* spin magnetization: 0.00 μB/atom



# 2
Material: TmPb4
Method: DFT, PBE
State: optimized geometry

CIF file:
```
data_TmPb4
_cell_length_a 5.7977
_cell_length_b 5.7977
_cell_length_c 5.7977
_cell_angle_alpha 90.00
_cell_angle_beta 90.00
_cell_angle_gamma 90.00
_symmetry_space_group_name_H-M 'P m -3 m'
_symmetry_Int_Tables_number 221
_symmetry_space_group_name_Hall '-P 4 2 3'
loop_
_atom_site_label
_atom_site_fract_x
_atom_site_fract_y
_atom_site_fract_z
Tm1 0.0000 0.0000 0.0000
Pb1 0.0000 0.0000 0.5000
Pb2 0.5000 0.5000 0.5000
```

Values from the calculation:
* crystal system: cubic
* formation enthalpy at 0 K: 399 meV/atom
* spin magnetization: 0.00 μB/atom



# 3
Material: In2OsCl2
Method: DFT, PBE
State: optimized geometry

CIF file:
```
data_In2OsCl2
_cell_length_a 6.2489
_cell_length_b 6.2489
_cell_length_c 7.5084
_cell_angle_alpha 90.00
_cell_angle_beta 90.00
_cell_angle_gamma 90.00
_symmetry_space_group_name_H-M 'I 4/m m m'
_symmetry_Int_Tables_number 139
_symmetry_space_group_name_Hall '-I 4 2'
loop_
_atom_site_label
_atom_site_fract_x
_atom_site_fract_y
_atom_site_fract_z
In1 0.0000 0.5000 0.2500
Os1 0.0000 0.0000 0.0000
Cl1 0.0000 0.0000 0.3010
```

Values from the calculation:
* crystal system: tetragonal
* spin magnetization: 0.41 μB/atom
* energy relative to the elements, uncorrected: 0.4484 eV/atom



# 4
Material: LaNd3Dy2Se6
Method: DFT, PBE
State: optimized geometry

CIF file:
```
data_LaNd3Dy2Se6
_cell_length_a 7.2377
_cell_length_b 12.5881
_cell_length_c 7.2836
_cell_angle_alpha 90.00
_cell_angle_beta 109.47
_cell_angle_gamma 90.00
_symmetry_space_group_name_H-M 'C 1 2/m 1'
_symmetry_Int_Tables_number 12
_symmetry_space_group_name_Hall '-C 2y'
loop_
_atom_site_label
_atom_site_fract_x
_atom_site_fract_y
_atom_site_fract_z
La1 0.0000 0.0000 0.0000
Nd1 0.0000 0.1608 0.5000
Nd2 0.0000 0.5000 0.5000
Dy1 0.0000 0.3329 0.0000
Se1 0.2341 0.5000 0.2376
Se2 0.2464 0.3276 0.7562
```

Values from the calculation:
* crystal system: monoclinic
* spin magnetization: 0.00 μB/atom
* energy relative to the elements, uncorrected: -1.8366 eV/atom



# 5
Material: Tm2Sc2Bi2C
Method: DFT, PBE
State: optimized geometry

CIF file:
```
data_Tm2Sc2Bi2C
_cell_length_a 4.5683
_cell_length_b 4.5683
_cell_length_c 15.7448
_cell_angle_alpha 90.00
_cell_angle_beta 90.00
_cell_angle_gamma 90.00
_symmetry_space_group_name_H-M 'I 4/m m m'
_symmetry_Int_Tables_number 139
_symmetry_space_group_name_Hall '-I 4 2'
loop_
_atom_site_label
_atom_site_fract_x
_atom_site_fract_y
_atom_site_fract_z
Tm1 0.0000 0.0000 0.1530
Sc1 0.0000 0.5000 0.0000
Bi1 0.0000 0.0000 0.3570
C1 0.0000 0.0000 0.0000
```

Values from the calculation:
* crystal system: tetragonal
* formation enthalpy at 0 K: -715 meV/atom
* spin magnetization: 0.00 μB/atom



# 6
Material: LuZnCuSn
Method: DFT, PBE
State: optimized geometry

CIF file:
```
data_LuZnCuSn
_cell_length_a 6.7305
_cell_length_b 6.7305
_cell_length_c 6.7305
_cell_angle_alpha 90.00
_cell_angle_beta 90.00
_cell_angle_gamma 90.00
_symmetry_space_group_name_H-M 'F -4 3 m'
_symmetry_Int_Tables_number 216
_symmetry_space_group_name_Hall 'F -4 2 3'
loop_
_atom_site_label
_atom_site_fract_x
_atom_site_fract_y
_atom_site_fract_z
Lu1 0.0000 0.0000 0.0000
Zn1 0.2500 0.2500 0.7500
Cu1 0.2500 0.2500 0.2500
Sn1 0.0000 0.0000 0.5000
```

Values from the calculation:
* crystal system: cubic
* formation enthalpy at 0 K: -242 meV/atom
* spin magnetization: 0.00 μB/atom



> The highest spin magnetization belongs to which entry?

In2OsCl2